PrNdHo2Sc: relaxed, PBE.

Geometry as extended XYZ:
```
10
Lattice="7.8883 0.0000 0.0000 0.0000 5.0331 0.0000 -0.0210 0.0000 7.9260" Properties=species:S:1:pos:R:3 pbc="T T T"
Pr 1.9172 1.2583 1.9042
Pr 5.9502 3.7748 6.0217
Nd 3.4936 1.2583 5.1793
Nd 4.3737 3.7748 2.7467
Ho 1.1385 3.7748 4.3357
Ho 2.6538 3.7748 7.5080
Ho 5.2135 1.2583 0.4179
Ho 6.7289 1.2583 3.5903
Sc 0.3570 1.2583 6.7407
Sc 7.5104 3.7748 1.1853
```

Computed properties:
Magnetization in μB/f.u.: 0.0
Crystal system: monoclinic
ΔH_f (0 K) in eV/atom: 0.048